DFT (PBE-GGA) results for a relaxed structure of PuCoTc.

Output
formation energy = 0.883 eV/atom
energy relative to the lowest polymorph listed for this composition = 40 kJ/mol of formula units

abc: 4.1987 4.1987 4.1987
angles: 60.00 60.00 60.00
Closest atoms and distances in Å follow each position.
Positions (direct):
Co 0.7500 0.7500 0.7500  4 Pu 2.57
Pu 0.0000 0.0000 0.0000  4 Co 2.57, 4 Tc 2.57
Tc 0.2500 0.2500 0.2500  4 Pu 2.57